Run w
Here is a relaxed structure of MgReAg from Alexandria via LeMat-Bulk. Energies are from PBEsol.

a b c (Å): 2.7870 2.7870 7.0837
angles (deg): 90.00 90.00 120.00
Space group P3m1 (No. 156)
Unique sites:
Mg: 0.0000 0.0000 0.0000 [1 per cell]
Re: 0.3333 0.6667 0.6721 [1 per cell]
Ag: 0.6667 0.3333 0.3345 [1 per cell]

Results
Crystal system ... trigonal
Total magnetic moment ... 0.0 μB/cell

=====

Run x
Here is a relaxed structure of MgReAg from Alexandria via LeMat-Bulk. Energies are from PBEsol.

a b c (Å): 2.685 2.685 13.212
angles (deg): 90.00 90.00 90.00
Space group I4mm (No. 107)
Unique sites:
Mg: 0.000 0.000 0.000 [2 per cell]
Re: 0.000 0.000 0.663 [2 per cell]
Ag: 0.000 0.000 0.331 [2 per cell]

Results
Crystal system ... tetragonal
Total magnetic moment ... 0.0 μB/cell

=====

Run y
Here is a relaxed structure of MgReAg from Alexandria via LeMat-Bulk. Energies are from PBEsol.

a b c (Å): 6.136 6.136 6.136
angles (deg): 90.00 90.00 90.00
Space group F-43m (No. 216)
Unique sites:
Mg: 0.000 0.000 0.000 [4 per cell]
Re: 0.000 0.000 0.500 [4 per cell]
Ag: 0.250 0.250 0.250 [4 per cell]

Results
Crystal system ... cubic
Total magnetic moment ... 8.1 μB/cell

=====

Most stable to least stable: run w, run x, run y

=====

Run w
Here is a relaxed structure of Mg2ReAg from Alexandria via LeMat-Bulk. Energies are from PBEsol.

a b c (Å): 3.325 4.379 9.283
angles (deg): 90.00 90.00 90.00
Space group Cmm2 (No. 35)
Unique sites:
Mg: 0.000 0.000 0.000 [2 per cell]
Mg: 0.000 0.500 0.282 [2 per cell]
Re: 0.000 0.000 0.516 [2 per cell]
Ag: 0.000 0.500 0.761 [2 per cell]

Results
Crystal system ... orthorhombic
Total magnetic moment ... 0.0 μB/cell

=====

Run x
Here is a relaxed structure of Mg2ReAg from Alexandria via LeMat-Bulk. Energies are from PBEsol.

a b c (Å): 3.925 3.925 8.574
angles (deg): 90.00 90.00 90.00
Space group I-4m2 (No. 119)
Unique sites:
Mg: 0.000 0.000 0.000 [2 per cell]
Mg: 0.000 0.500 0.250 [2 per cell]
Re: 0.000 0.000 0.500 [2 per cell]
Ag: 0.000 0.500 0.750 [2 per cell]

Results
Crystal system ... tetragonal
Total magnetic moment ... 0.0 μB/cell

=====

Run y
Here is a relaxed structure of Mg2ReAg from Alexandria via LeMat-Bulk. Energies are from PBEsol.

a b c (Å): 2.729 4.416 5.544
angles (deg): 90.00 90.00 90.00
Space group Pmm2 (No. 25)
Unique sites:
Mg: 0.000 0.000 0.000 [1 per cell]
Mg: 0.500 0.500 0.290 [1 per cell]
Re: 0.000 0.000 0.502 [1 per cell]
Ag: 0.500 0.500 0.767 [1 per cell]

Results
Crystal system ... orthorhombic
Total magnetic moment ... 0.0 μB/cell

=====

Most stable to least stable: run w, run y, run x

=====

Run w
Here is a relaxed structure of MgAgSb from Alexandria via LeMat-Bulk. Energies are from PBEsol.

a b c (Å): 6.474 6.474 6.474
angles (deg): 90.00 90.00 90.00
Space group F-43m (No. 216)
Unique sites:
Mg: 0.000 0.000 0.000 [4 per cell]
Ag: 0.250 0.250 0.750 [4 per cell]
Sb: 0.000 0.000 0.500 [4 per cell]

Results
Crystal system ... cubic
Total magnetic moment ... 0.0 μB/cell

=====

Run x
Here is a relaxed structure of MgAgSb from Alexandria via LeMat-Bulk. Energies are from PBEsol.

a b c (Å): 4.391 4.391 6.759
angles (deg): 90.00 90.00 90.00
Space group P4/nmm (No. 129, origin choice 2)
Unique sites:
Mg: 0.250 0.250 0.205 [2 per cell]
Ag: 0.250 0.750 0.500 [2 per cell]
Sb: 0.250 0.250 0.779 [2 per cell]

Results
Crystal system ... tetragonal
Total magnetic moment ... 0.0 μB/cell

=====

Most stable to least stable: run w, run x

=====

Run w
Here is a relaxed structure of MgAg2Se from Alexandria via LeMat-Bulk. Energies are from PBEsol.

a b c (Å): 3.545 3.579 12.120
angles (deg): 90.00 90.00 90.00
Space group Amm2 (No. 38)
Unique sites:
Mg: 0.000 0.000 0.000 [2 per cell]
Ag: 0.000 0.000 0.241 [2 per cell]
Ag: 0.500 0.000 0.644 [2 per cell]
Se: 0.500 0.000 0.417 [2 per cell]

Results
Crystal system ... orthorhombic
Total magnetic moment ... 0.0 μB/cell

=====

Run x
Here is a relaxed structure of MgAg2Se from Alexandria via LeMat-Bulk. Energies are from PBEsol.

a b c (Å): 3.903 3.903 9.605
angles (deg): 90.00 90.00 90.00
Space group I4/mmm (No. 139)
Unique sites:
Mg: 0.000 0.000 0.000 [2 per cell]
Ag: 0.000 0.500 0.250 [4 per cell]
Se: 0.000 0.000 0.500 [2 per cell]

Results
Crystal system ... tetragonal
Total magnetic moment ... 0.0 μB/cell

=====

Run y
Here is a relaxed structure of MgAg2Se from Alexandria via LeMat-Bulk. Energies are from PBEsol.

a b c (Å): 6.679 6.679 6.679
angles (deg): 90.00 90.00 90.00
Space group Fm-3m (No. 225)
Unique sites:
Mg: 0.000 0.000 0.000 [4 per cell]
Ag: 0.250 0.250 0.250 [8 per cell]
Se: 0.000 0.000 0.500 [4 per cell]

Results
Crystal system ... cubic
Total magnetic moment ... 0.0 μB/cell

=====

Run z
Here is a relaxed structure of MgAg2Se from Alexandria via LeMat-Bulk. Energies are from PBEsol.

a b c (Å): 6.670 6.670 6.670
angles (deg): 90.00 90.00 90.00
Space group F-43m (No. 216)
Unique sites:
Mg: 0.000 0.000 0.000 [4 per cell]
Ag: 0.000 0.000 0.500 [4 per cell]
Ag: 0.250 0.250 0.250 [4 per cell]
Se: 0.250 0.250 0.750 [4 per cell]

Results
Crystal system ... cubic
Total magnetic moment ... 0.0 μB/cell

=====

Most stable to least stable: run w, run x, run z, run y

=====

Run w
Here is a relaxed structure of MgTaAg from Alexandria via LeMat-Bulk. Energies are from PBEsol.

a b c (Å): 6.325 6.325 6.325
angles (deg): 90.00 90.00 90.00
Space group F-43m (No. 216)
Unique sites:
Mg: 0.000 0.000 0.000 [4 per cell]
Ta: 0.250 0.250 0.250 [4 per cell]
Ag: 0.000 0.000 0.500 [4 per cell]

Results
Crystal system ... cubic
Total magnetic moment ... 0.0 μB/cell

=====

Run x
Here is a relaxed structure of MgTaAg from Alexandria via LeMat-Bulk. Energies are from PBEsol.

a b c (Å): 6.213 6.213 6.213
angles (deg): 90.00 90.00 90.00
Space group F-43m (No. 216)
Unique sites:
Mg: 0.000 0.000 0.000 [4 per cell]
Ta: 0.000 0.000 0.500 [4 per cell]
Ag: 0.250 0.250 0.750 [4 per cell]

Results
Crystal system ... cubic
Total magnetic moment ... 0.0 μB/cell

=====

Most stable to least stable: run x, run w

=====

Run w
Here is a relaxed structure of Mg2AgW from Alexandria via LeMat-Bulk. Energies are from PBEsol.

a b c (Å): 6.518 6.518 6.518
angles (deg): 90.00 90.00 90.00
Space group Fm-3m (No. 225)
Unique sites:
Mg: 0.250 0.250 0.250 [8 per cell]
Ag: 0.000 0.000 0.000 [4 per cell]
W: 0.000 0.000 0.500 [4 per cell]

Results
Crystal system ... cubic
Total magnetic moment ... 7.8 μB/cell

=====

Run x
Here is a relaxed structure of Mg2AgW from Alexandria via LeMat-Bulk. Energies are from PBEsol.

a b c (Å): 2.828 5.041 9.674
angles (deg): 90.00 90.00 90.00
Space group Immm (No. 71)
Unique sites:
Mg: 0.000 0.000 0.238 [4 per cell]
Ag: 0.000 0.500 0.500 [2 per cell]
W: 0.000 0.500 0.000 [2 per cell]

Results
Crystal system ... orthorhombic
Total magnetic moment ... 0.0 μB/cell

=====

Run y
Here is a relaxed structure of Mg2AgW from Alexandria via LeMat-Bulk. Energies are from PBEsol.

a b c (Å): 2.916 4.758 4.974
angles (deg): 90.00 90.00 90.00
Space group Pmmm (No. 47)
Unique sites:
Mg: 0.000 0.000 0.000 [1 per cell]
Mg: 0.500 0.000 0.500 [1 per cell]
Ag: 0.000 0.500 0.500 [1 per cell]
W: 0.500 0.500 0.000 [1 per cell]

Results
Crystal system ... orthorhombic
Total magnetic moment ... 0.0 μB/cell

=====

Most stable to least stable: run x, run y, run w

=====

Run w
Here is a relaxed structure of MgZr2Ag from Alexandria via LeMat-Bulk. Energies are from PBEsol.

a b c (Å): 3.115 3.115 8.439
angles (deg): 90.00 90.00 90.00
Space group P4mm (No. 99)
Unique sites:
Mg: 0.000 0.000 0.000 [1 per cell]
Zr: 0.000 0.000 0.545 [1 per cell]
Zr: 0.500 0.500 0.284 [1 per cell]
Ag: 0.500 0.500 0.789 [1 per cell]

Results
Crystal system ... tetragonal
Total magnetic moment ... 0.0 μB/cell

=====

Run x
Here is a relaxed structure of MgZr2Ag from Alexandria via LeMat-Bulk. Energies are from PBEsol.

a b c (Å): 10.650 3.095 5.341
angles (deg): 90.00 113.47 90.00
Space group Cm (No. 8)
Unique sites:
Mg: 0.000 0.000 0.000 [2 per cell]
Zr: 0.227 0.000 0.630 [2 per cell]
Zr: 0.469 0.000 0.476 [2 per cell]
Ag: 0.231 0.500 0.110 [2 per cell]

Results
Crystal system ... monoclinic
Total magnetic moment ... 0.0 μB/cell

=====

Most stable to least stable: run w, run x

=====

Run w
Here is a relaxed structure of MnAgMo2 from Alexandria via LeMat-Bulk. Energies are from PBEsol.

a b c (Å): 4.788 2.685 4.908
angles (deg): 90.00 109.84 90.00
Space group P2/m (No. 10)
Unique sites:
Mn: 0.000 0.000 0.000 [1 per cell]
Ag: 0.500 0.500 0.000 [1 per cell]
Mo: 0.000 0.500 0.500 [1 per cell]
Mo: 0.500 0.000 0.500 [1 per cell]

Results
Crystal system ... monoclinic
Total magnetic moment ... 2.4 μB/cell

=====

Run x
Here is a relaxed structure of MnAgMo2 from Alexandria via LeMat-Bulk. Energies are from PBEsol.

a b c (Å): 2.678 2.678 7.972
angles (deg): 90.00 90.00 90.00
Space group P4/mmm (No. 123)
Unique sites:
Mn: 0.000 0.000 0.000 [1 per cell]
Ag: 0.000 0.000 0.500 [1 per cell]
Mo: 0.500 0.500 0.215 [2 per cell]

Results
Crystal system ... tetragonal
Total magnetic moment ... 0.0 μB/cell

=====

Most stable to least stable: run x, run w